# 1
The following is a PBE calculation of a relaxed CoMoOs crystal, from Alexandria via LeMat-Bulk.

```
3
Lattice="-1.3426 1.3426 5.6604 1.3426 -1.3426 5.6604 1.3426 1.3426 -5.6604" Properties=species:S:1:pos:R:3 pbc="T T T"
Co 0.0000 0.0000 0.0000
Mo 0.0000 0.0000 3.7908
Os 0.0000 0.0000 7.3880
```

Output
spin magnetization = 1.08 Bohr magnetons per cell
offset from the most stable computed form = 123 meV per atom
formation energy = 39 kJ/mol of formula units



# 2
The following is a PBE calculation of a relaxed SnHg2S2Br2 crystal, from Alexandria via LeMat-Bulk.

```
28
Lattice="9.8227 0.0000 0.0000 0.0000 8.1647 0.0000 -6.9159 0.0000 10.8238" Properties=species:S:1:pos:R:3 pbc="T T T"
Sn -1.5727 0.7118 4.5848
Sn -5.0307 3.3706 9.9967
Sn 7.9374 4.7941 0.8270
Sn 4.4795 7.4529 6.2389
Hg -1.8212 4.4341 6.7489
Hg 1.6367 7.8129 1.3370
Hg 1.4676 5.6339 4.0885
Hg -1.9904 6.6132 9.5004
Hg 4.8972 1.5515 1.3234
Hg 1.4392 2.5308 6.7353
Hg 1.2700 0.3518 9.4868
Hg 4.7280 3.7306 4.0749
S -3.5283 5.5056 8.0356
S -0.0703 6.7415 2.6237
S -3.7406 0.7286 10.6747
S -0.2827 3.3537 5.2628
S 3.1895 4.8110 5.5610
S 6.6474 7.4361 0.1491
S 2.9771 1.4232 8.2001
S 6.4350 2.6591 2.7882
Br -3.4280 1.5071 6.6212
Br 0.0300 2.5752 1.2093
Br 3.3069 4.7969 1.1714
Br -0.1511 7.4501 6.5832
Br 3.0578 0.7146 4.2405
Br -0.4001 3.3677 9.6524
Br 2.8768 5.5895 9.6144
Br 6.3347 6.6576 4.2026
```

Output
uncorrected formation energy = -0.41 eV per atom
spin magnetization = 0.00 Bohr magnetons per cell
offset from the most stable computed form = 0 meV per atom



# 3
The following is a PBE calculation of a relaxed YBS2 crystal, from Alexandria via LeMat-Bulk.

```
8
Lattice="-2.9144 2.9144 4.1003 2.9144 -2.9144 4.1003 2.9144 2.9144 -4.1003" Properties=species:S:1:pos:R:3 pbc="T T T"
Y 0.0000 0.0000 0.0000
Y 0.0000 2.9144 2.0502
B 2.9144 0.0000 2.0502
B 0.0000 0.0000 4.1003
S 1.4572 -0.8261 3.0752
S 2.0882 1.4572 1.0251
S 1.4572 3.7405 -1.0251
S 0.8261 1.4572 5.1254
```

Output
uncorrected formation energy = -0.45 eV per atom
spin magnetization = 0.00 Bohr magnetons per cell



# 4
The following is a PBE calculation of a relaxed Be2NiBr crystal, from Alexandria via LeMat-Bulk.

```
4
Lattice="-1.6105 1.6105 5.3553 1.6105 -1.6105 5.3553 1.6105 1.6105 -5.3553" Properties=species:S:1:pos:R:3 pbc="T T T"
Be 0.0000 0.0000 0.0000
Be 0.0000 1.6105 2.6777
Ni 0.0000 0.0000 5.3553
Br 1.6105 0.0000 2.6777
```

Output
uncorrected formation energy = 0.65 eV per atom
spin magnetization = 0.00 Bohr magnetons per cell
offset from the most stable computed form = 586 meV per atom



What are the total energy values for these records? In order: -0.3523 -0.1002 -0.2129 -0.1131 Ha/atom.